(1)
## Zn3S2O9 (PBE)

Data for a geometry-optimized Zn3S2O9 structure.

Geometry as POSCAR:
```
Zn3S2O9
1.0
6.726 0.000 0.000
0.000 7.521 0.030
0.000 3.732 7.158
Zn O S
6 18 4
direct
0.750 0.616 0.244
0.750 0.857 0.758
0.250 0.143 0.242
0.000 0.000 0.000
0.500 0.000 0.000
0.250 0.384 0.756
0.571 0.086 0.232
0.071 0.683 0.233
0.571 0.317 0.767
0.250 0.621 0.798
0.929 0.317 0.767
0.750 0.379 0.202
0.750 0.081 0.498
0.750 0.579 0.801
0.250 0.419 0.497
0.429 0.914 0.768
0.071 0.914 0.768
0.250 0.421 0.199
0.750 0.872 0.000
0.929 0.086 0.232
0.250 0.919 0.502
0.250 0.128 0.000
0.429 0.683 0.233
0.750 0.581 0.503
0.750 0.451 0.707
0.250 0.549 0.293
0.750 0.157 0.293
0.250 0.843 0.707
```

Summary:
The total energy comes out at -152.84 eV for the cell shown. As for the space group: No. 11. For the formation energy from raw total energies, the calculation gives -1408.4 meV/atom. The calculated volume comes out at 12.9 Å³ per atom.

=====

(2)
## Tb5Dy2Ho5 (PBE)

Data for a geometry-optimized Tb5Dy2Ho5 structure.

Geometry as POSCAR:
```
Tb5Dy2Ho5
1.0
5.630 0.000 0.000
-2.815 5.799 -0.369
0.000 -3.197 11.745
Ho Tb Dy
5 5 2
direct
0.000 0.000 0.000
0.190 0.380 0.475
0.258 0.515 0.227
0.742 0.485 0.773
0.810 0.620 0.525
0.574 0.148 0.242
0.695 0.391 0.031
0.305 0.609 0.969
0.500 0.000 0.500
0.426 0.852 0.758
0.920 0.840 0.295
0.080 0.160 0.705
```

Summary:
The total energy comes out at -54.02 eV for the cell shown. As for the space group: No. 12. The calculated volume comes out at 31.4 Å³ per atom. The formation energy is 0.1017 eV/atom.

=====

(3)
## LuScAgIr (PBE)

Data for a geometry-optimized LuScAgIr structure.

Geometry as POSCAR:
```
LuScAgIr
1.0
4.786 0.000 0.000
2.393 4.145 0.000
2.393 1.382 3.908
Sc Ir Ag Lu
1 1 1 1
direct
0.000 0.000 0.000
0.750 0.750 0.750
0.250 0.250 0.250
0.500 0.500 0.500
```

Summary:
The total energy comes out at -25.20 eV for the cell shown. As for the space group: No. 216. The calculated volume comes out at 19.4 Å³ per atom. The formation energy is -0.6592 eV/atom.

=====

(4)
## HoScOsRu (PBE)

Data for a geometry-optimized HoScOsRu structure.

Geometry as POSCAR:
```
HoScOsRu
1.0
-3.107 -0.394 3.459
-4.276 -1.649 -0.881
-1.238 -4.222 1.554
Os Ru Sc Ho
1 1 1 1
direct
0.250 0.250 0.250
0.750 0.750 0.750
0.000 0.000 0.000
0.500 0.500 0.500
```

Summary:
The total energy comes out at -32.63 eV for the cell shown. As for the space group: No. 216. The calculated volume comes out at 18.0 Å³ per atom. The formation energy is -0.3047 eV/atom.

=====

(5)
## Cs2MgHgI6 (PBE)

Data for a geometry-optimized Cs2MgHgI6 structure.

Geometry as POSCAR:
```
Cs2MgHgI6
1.0
8.488 0.000 0.000
0.000 8.488 0.000
4.244 4.244 6.121
I Hg Cs Mg
6 1 2 1
direct
0.270 0.270 0.461
0.753 0.753 0.000
0.247 0.247 0.000
0.730 0.730 0.539
0.247 0.753 0.000
0.753 0.247 0.000
0.000 0.000 0.000
0.250 0.750 0.500
0.750 0.250 0.500
0.500 0.500 0.000
```

Summary:
The total energy comes out at -22.52 eV for the cell shown. As for the space group: No. 139. For the formation energy from raw total energies, the calculation gives -961.8 meV/atom. The distance to the lowest polymorph of the same formula comes out at 73 meV per atom. The calculated volume comes out at 44.1 Å³ per atom.

=====

(6)
## ScBe (PBE)

Data for a geometry-optimized ScBe structure.

Geometry as POSCAR:
```
ScBe
1.0
-1.869 -2.403 -0.652
2.019 1.026 -2.136
2.910 -2.662 1.473
Be Sc
1 1
direct
0.000 0.000 0.000
0.333 0.667 0.500
```

Summary:
The total energy comes out at -9.16 eV for the cell shown. As for the space group: No. 187. The calculated volume comes out at 17.7 Å³ per atom. The formation energy is 0.4509 eV/atom.

=====

(7)
## NaCaCdBi (PBE)

Data for a geometry-optimized NaCaCdBi structure.

Geometry as POSCAR:
```
NaCaCdBi
1.0
-0.728 -4.123 3.525
0.136 -5.175 -1.776
4.206 -3.239 1.329
Bi Cd Ca Na
1 1 1 1
direct
0.250 0.250 0.250
0.750 0.750 0.750
0.000 0.000 0.000
0.500 0.500 0.500
```

Summary:
The total energy comes out at -9.97 eV for the cell shown. As for the space group: No. 216. The calculated volume comes out at 29.0 Å³ per atom. The formation energy is -0.4624 eV/atom.

=====

(8)
## Cs4Np3PaS12 (PBE)

Data for a geometry-optimized Cs4Np3PaS12 structure.

Geometry as POSCAR:
```
Cs4Np3PaS12
1.0
-7.075 -5.729 -0.031
7.700 -4.679 -1.303
0.384 4.305 8.012
Cs S Pa Np
4 12 1 3
direct
0.000 0.000 0.500
0.000 0.500 0.000
0.500 0.000 0.000
0.500 0.500 0.500
0.749 0.749 0.000
0.250 0.500 0.750
0.250 0.750 0.500
0.251 0.251 0.000
0.749 0.000 0.749
0.500 0.750 0.250
0.251 0.000 0.251
0.500 0.250 0.750
0.750 0.500 0.250
0.750 0.250 0.500
0.000 0.251 0.251
0.000 0.749 0.749
0.000 0.000 0.000
0.000 0.500 0.500
0.500 0.000 0.500
0.500 0.500 0.000
```

Summary:
The total energy comes out at -127.41 eV for the cell shown. As for the space group: No. 229. For the formation energy from raw total energies, the calculation gives -1307.2 meV/atom. The calculated volume comes out at 29.0 Å³ per atom.